! Sr2ScCdHg6 | the Alexandria database | PBE | relaxed; values from VASP
! Total magnetic moment: 0.00 μB per cell
! Calculated volume: 32.9 Å³ per atom
! Calculated formation energy: -0.15 eV per atom
! SG: No. 225
&SYSTEM
  ibrav = 0, nat = 10, ntyp = 4
/
ATOMIC_SPECIES
Sc 44.96 Sc.upf
Cd 112.41 Cd.upf
Sr 87.62 Sr.upf
Hg 200.59 Hg.upf
CELL_PARAMETERS angstrom
7.750 0.000 0.000
0.000 7.750 0.000
3.875 3.875 5.480
ATOMIC_POSITIONS crystal
Sc 0.500 0.500 0.000
Cd 0.000 0.000 0.000
Sr 0.750 0.250 0.500
Sr 0.250 0.750 0.500
Hg 0.252 0.748 0.000
Hg 0.748 0.252 0.000
Hg 0.252 0.252 0.497
Hg 0.252 0.252 0.000
Hg 0.748 0.748 0.503
Hg 0.748 0.748 0.000

! TbSc2CdHg4 | the Alexandria database | PBE | relaxed; values from VASP
! Total magnetic moment: 0.00 μB per cell
! Calculated volume: 23.0 Å³ per atom
! Calculated formation energy: -0.34 eV per atom
! SG: No. 166
&SYSTEM
  ibrav = 0, nat = 8, ntyp = 4
/
ATOMIC_SPECIES
Tb 158.93 Tb.upf
Hg 200.59 Hg.upf
Sc 44.96 Sc.upf
Cd 112.41 Cd.upf
CELL_PARAMETERS angstrom
-4.455 -2.050 1.047
-0.734 -2.291 4.400
-4.302 5.867 5.195
ATOMIC_POSITIONS crystal
Tb 0.000 0.000 0.000
Hg 0.374 0.374 0.877
Hg 0.123 0.123 0.630
Hg 0.877 0.877 0.370
Hg 0.626 0.626 0.123
Sc 0.243 0.243 0.270
Sc 0.757 0.757 0.730
Cd 0.500 0.500 0.500

! ThScCd2Hg4 | the Alexandria database | PBE | relaxed; values from VASP
! Total magnetic moment: 0.00 μB per cell
! Calculated volume: 23.4 Å³ per atom
! Calculated formation energy: -0.25 eV per atom
! SG: No. 166
&SYSTEM
  ibrav = 0, nat = 8, ntyp = 4
/
ATOMIC_SPECIES
Hg 200.59 Hg.upf
Cd 112.41 Cd.upf
Th 232.04 Th.upf
Sc 44.96 Sc.upf
CELL_PARAMETERS angstrom
-3.966 -0.967 -2.977
-2.300 -4.493 0.236
-7.298 1.160 5.058
ATOMIC_POSITIONS crystal
Hg 0.383 0.383 0.851
Hg 0.617 0.617 0.149
Hg 0.870 0.870 0.390
Hg 0.130 0.130 0.610
Cd 0.750 0.750 0.751
Cd 0.250 0.250 0.249
Th 0.000 0.000 0.000
Sc 0.500 0.500 0.500

! ThScCdHg | the Alexandria database | PBE | relaxed; values from VASP
! Total magnetic moment: 0.72 μB per cell
! Relative energy among the computed polymorphs: 0.0677 eV/atom
! Calculated volume: 25.7 Å³ per atom
! Calculated formation energy: -0.19 eV per atom
! SG: No. 216
&SYSTEM
  ibrav = 0, nat = 4, ntyp = 4
/
ATOMIC_SPECIES
Sc 44.96 Sc.upf
Hg 200.59 Hg.upf
Cd 112.41 Cd.upf
Th 232.04 Th.upf
CELL_PARAMETERS angstrom
5.257 0.000 0.000
2.628 4.553 0.000
2.628 1.518 4.292
ATOMIC_POSITIONS crystal
Sc 0.000 0.000 0.000
Hg 0.250 0.250 0.250
Cd 0.750 0.750 0.750
Th 0.500 0.500 0.500

no.,DOS at the Fermi energy (states/eV/cell)
1,8.49
2,5.99
3,3.76
4,4.84